! Bi2MoIrSe, optimized geometry, DFT PBE; values from VASP
! Uncorrected energy: -5.244 eV per atom
! Raw formation energy: 944 meV per atom
&SYSTEM
  ibrav = 0, nat = 5, ntyp = 4
/
ATOMIC_SPECIES
Bi 208.98 Bi.upf
Ir 192.22 Ir.upf
Mo 95.94 Mo.upf
Se 78.96 Se.upf
CELL_PARAMETERS angstrom
-2.210 -2.180 4.419
-2.875 -2.555 -2.699
3.655 -3.973 -0.132
ATOMIC_POSITIONS crystal
Bi 0.000 0.000 0.500
Bi 0.500 0.000 0.000
Ir 0.000 0.500 0.000
Mo 0.000 0.000 0.000
Se 0.500 0.500 0.500